Entry 1:
19
Lattice="5.203 3.004 4.927 -5.203 3.004 4.927 0.000 -6.008 4.927" Properties=species:S:1:pos:R:3 comment="Ca2Cd16Bi, relaxed, DFT PBE" volume_a3_per_cell=462.02 spacegroup="R3m (160)" total_magnetization_mub_per_cell=0.0 pbc="T T T"
Ca 0.000 0.000 0.000
Ca 0.000 0.000 4.774
Cd 0.000 -2.904 2.554
Cd -2.515 1.452 2.554
Cd -2.411 -1.392 7.233
Cd 0.000 -3.206 7.140
Cd -2.776 1.603 7.140
Cd -1.655 -2.814 9.751
Cd -3.265 -0.026 9.751
Cd 2.515 1.452 2.554
Cd 0.000 0.000 8.267
Cd 2.411 -1.392 7.233
Cd 0.000 2.784 7.233
Cd 1.655 -2.814 9.751
Cd -1.610 2.841 9.751
Cd 2.776 1.603 7.140
Cd 3.265 -0.026 9.751
Cd 1.610 2.841 9.751
Bi 0.000 0.000 11.364

---

Entry 2:
5
Lattice="5.777 0.000 0.000 0.000 5.777 0.000 0.000 0.000 5.777" Properties=species:S:1:pos:R:3 comment="Ca3CdBi, relaxed, DFT PBE" relative_energy_mev_per_atom=81 volume_a3_per_cell=192.76 spacegroup="Pm-3m (221)" total_magnetization_mub_per_cell=0.0 pbc="T T T"
Ca 0.000 0.000 2.888
Ca 0.000 2.888 0.000
Ca 2.888 0.000 0.000
Cd 0.000 0.000 0.000
Bi 2.888 2.888 2.888

---

Entry 3:
10
Lattice="2.326 -12.495 0.000 2.326 12.495 0.000 0.000 0.000 4.747" Properties=species:S:1:pos:R:3 comment="CaCd2Bi2, relaxed, DFT PBE" volume_a3_per_cell=275.92 spacegroup="Cmcm (63)" total_magnetization_mub_per_cell=0.0 pbc="T T T"
Ca 2.326 8.803 3.561
Ca 2.326 -8.803 1.187
Cd 2.326 11.549 1.187
Cd 2.326 1.070 1.187
Cd 2.326 -1.070 3.561
Cd 2.326 -11.549 3.561
Bi 2.326 6.263 1.187
Bi 2.326 3.194 3.561
Bi 2.326 -3.194 1.187
Bi 2.326 -6.263 3.561

---

Entry 4:
5
Lattice="5.697 0.000 0.000 0.000 5.697 0.000 0.000 0.000 5.697" Properties=species:S:1:pos:R:3 comment="CaCdBi3, relaxed, DFT PBE" relative_energy_mev_per_atom=479 volume_a3_per_cell=184.87 spacegroup="Pm-3m (221)" total_magnetization_mub_per_cell=0.0 pbc="T T T"
Ca 0.000 0.000 0.000
Cd 2.848 2.848 2.848
Bi 0.000 2.848 2.848
Bi 2.848 0.000 2.848
Bi 2.848 2.848 0.000

---

Entry 5:
4
Lattice="5.013 0.000 0.000 0.000 5.013 0.000 0.000 0.000 4.606" Properties=species:S:1:pos:R:3 comment="CaCdBi2, relaxed, DFT PBE" volume_a3_per_cell=115.73 spacegroup="P4/mmm (123)" total_magnetization_mub_per_cell=0.0 pbc="T T T"
Ca 0.000 0.000 0.000
Cd 2.506 2.506 0.000
Bi 0.000 2.506 2.303
Bi 2.506 0.000 2.303

---

Entry 6:
5
Lattice="5.757 0.000 0.000 0.000 5.757 0.000 0.000 0.000 5.757" Properties=species:S:1:pos:R:3 comment="CaCd3Bi, relaxed, DFT PBE" relative_energy_mev_per_atom=0 volume_a3_per_cell=190.85 spacegroup="Pm-3m (221)" total_magnetization_mub_per_cell=0.0 pbc="T T T"
Ca 0.000 0.000 0.000
Cd 0.000 2.879 2.879
Cd 2.879 0.000 2.879
Cd 2.879 2.879 0.000
Bi 2.879 2.879 2.879

---

Entry 7:
4
Lattice="2.040 1.178 8.833 -2.040 1.178 8.833 0.000 -2.356 8.833" Properties=species:S:1:pos:R:3 comment="CaCdBi2, relaxed, DFT PBE" volume_a3_per_cell=127.33 spacegroup="R-3m (166)" total_magnetization_mub_per_cell=0.0 pbc="T T T"
Ca 0.000 0.000 0.000
Cd 0.000 0.000 13.249
Bi 0.000 0.000 6.425
Bi 0.000 0.000 20.074

---

Entry 8:
8
Lattice="4.765 0.000 0.000 0.000 5.124 0.000 0.000 0.000 9.161" Properties=species:S:1:pos:R:3 comment="Ca2Cd3Bi3, relaxed, DFT PBE" volume_a3_per_cell=223.70 spacegroup="Pmmm (47)" total_magnetization_mub_per_cell=0.0 pbc="T T T"
Ca 0.000 0.000 2.277
Ca 0.000 0.000 6.884
Cd 0.000 2.562 0.000
Cd 2.383 2.562 2.146
Cd 2.383 2.562 7.015
Bi 0.000 2.562 4.581
Bi 2.383 0.000 0.000
Bi 2.383 0.000 4.581

---

Entry 9:
5
Lattice="6.002 0.000 0.000 0.000 6.002 0.000 0.000 0.000 6.002" Properties=species:S:1:pos:R:3 comment="Ca3CdBi, relaxed, DFT PBE" relative_energy_mev_per_atom=0 volume_a3_per_cell=216.16 spacegroup="Pm-3m (221)" total_magnetization_mub_per_cell=0.0 pbc="T T T"
Ca 0.000 0.000 3.001
Ca 0.000 3.001 0.000
Ca 3.001 0.000 0.000
Cd 3.001 3.001 3.001
Bi 0.000 0.000 0.000

---

Entry 10:
10
Lattice="8.001 -2.834 0.000 8.001 2.834 0.000 -1.334 0.000 6.823" Properties=species:S:1:pos:R:3 comment="Ca5CdBi4, relaxed, DFT PBE" volume_a3_per_cell=309.42 spacegroup="C2/m (12)" total_magnetization_mub_per_cell=0.0 pbc="T T T"
Ca 0.000 0.000 0.000
Ca 2.225 0.000 5.502
Ca 5.528 0.000 4.169
Ca 9.140 0.000 2.653
Ca 12.443 0.000 1.321
Cd -0.667 0.000 3.411
Bi 2.635 0.000 2.061
Bi 6.282 0.000 0.946
Bi 8.386 0.000 5.876
Bi 12.033 0.000 4.762

---

Entry 11:
10
Lattice="8.813 0.000 0.000 0.000 8.813 0.000 0.000 0.000 3.748" Properties=species:S:1:pos:R:3 comment="Ca2Cd2Bi, relaxed, DFT PBE" relative_energy_mev_per_atom=4 volume_a3_per_cell=291.07 spacegroup="P4/mbm (127)" total_magnetization_mub_per_cell=0.0 pbc="T T T"
Ca 1.546 2.860 0.000
Ca 2.860 7.267 0.000
Ca 5.952 1.546 0.000
Ca 7.267 5.952 0.000
Cd 1.051 5.457 1.874
Cd 3.356 1.051 1.874
Cd 5.457 7.762 1.874
Cd 7.762 3.356 1.874
Bi 0.000 0.000 1.874
Bi 4.406 4.406 1.874

---

Entry 12:
4
Lattice="4.575 0.000 0.000 0.000 4.575 0.000 0.000 0.000 5.140" Properties=species:S:1:pos:R:3 comment="CaCd2Bi, relaxed, DFT PBE" volume_a3_per_cell=107.56 spacegroup="P4/mmm (123)" total_magnetization_mub_per_cell=0.0 pbc="T T T"
Ca 0.000 0.000 0.000
Cd 0.000 2.287 2.570
Cd 2.287 0.000 2.570
Bi 2.287 2.287 0.000

---

no.,formation enthalpy at 0 K (eV/atom)
1,-0.126
2,-0.090
3,-0.303
4,0.211
5,-0.394
6,0.294
7,-0.198
8,-0.368
9,-0.171
10,-0.688
11,-0.357
12,-0.358